Entry from Alexandria via LeMat-Bulk: a relaxed TbThI crystal (GGA-PBE).

Unit cell a=5.5853 b=5.5853 c=3.6698 alpha=90.00 beta=90.00 gamma=120.00
Space group P3m1 (No. 156)
Asymmetric unit:
Tb 0.0000 0.0000 0.0000 x1
Th 0.6667 0.3333 0.4919 x1
I 0.3333 0.6667 0.4401 x1

Values from the calculation:
Relative energy among the computed polymorphs, meV per atom: 326.2
DFT total energy, eV per atom: -4.51
E_form (uncorrected), eV per atom: 0.02
Size of the total moment, μB per cell: 0.1

Entry from Alexandria via LeMat-Bulk: a relaxed TbThI crystal (GGA-PBE).

Unit cell a=6.733 b=10.191 c=6.366 alpha=90.00 beta=121.92 gamma=90.00
Space group C2/m (No. 12)
Asymmetric unit:
Tb 0.187 0.000 0.299 x4
Th 0.000 0.348 0.000 x4
I 0.000 0.221 0.500 x4

Values from the calculation:
Relative energy among the computed polymorphs, meV per atom: 0.0
DFT total energy, eV per atom: -4.84
E_form (uncorrected), eV per atom: -0.31
Size of the total moment, μB per cell: 0.0

Entry from Alexandria via LeMat-Bulk: a relaxed Tb2ThI crystal (GGA-PBE).

Unit cell a=3.712 b=3.712 c=9.379 alpha=90.00 beta=90.00 gamma=90.00
Space group P4/mmm (No. 123)
Asymmetric unit:
Tb 0.000 0.000 0.249 x2
Th 0.500 0.500 0.000 x1
I 0.500 0.500 0.500 x1

Values from the calculation:
Relative energy among the computed polymorphs, meV per atom: 77.6
DFT total energy, eV per atom: -4.86
E_form (uncorrected), eV per atom: -0.30
Size of the total moment, μB per cell: 0.0

Entry from Alexandria via LeMat-Bulk: a relaxed Tb2ThI crystal (GGA-PBE).

Unit cell a=3.7481 b=3.7481 c=31.2599 alpha=90.00 beta=90.00 gamma=120.00
Space group R-3m (No. 166, hexagonal axes)
Asymmetric unit:
Tb 0.0000 0.0000 0.2458 x6
Th 0.0000 0.0000 0.0000 x3
I 0.0000 0.0000 0.5000 x3

Values from the calculation:
Relative energy among the computed polymorphs, meV per atom: 0.0
DFT total energy, eV per atom: -4.94
E_form (uncorrected), eV per atom: -0.38
Size of the total moment, μB per cell: 0.0

Entry from Alexandria via LeMat-Bulk: a relaxed TbTiI crystal (GGA-PBE).

Unit cell a=3.755 b=3.755 c=12.727 alpha=90.34 beta=90.24 gamma=90.00
Space group P-1 (No. 2)
Asymmetric unit:
Tb 0.247 0.245 0.304 x2
Ti 0.250 0.251 0.542 x2
I 0.255 0.258 0.842 x2

Values from the calculation:
DFT total energy, eV per atom: -5.14
E_form (uncorrected), eV per atom: -0.45
Size of the total moment, μB per cell: 0.0

Entry from Alexandria via LeMat-Bulk: a relaxed TbTl3I6 crystal (GGA-PBE).

Unit cell a=8.224 b=9.140 c=14.067 alpha=90.00 beta=121.60 gamma=90.00
Space group P2_1/c (No. 14)
Asymmetric unit:
Tb 0.000 0.000 0.000 x2
Tl 0.309 0.095 0.771 x4
Tl 0.500 0.000 0.500 x2
I 0.089 0.058 0.236 x4
I 0.235 0.717 0.079 x4
I 0.358 0.168 0.051 x4

Values from the calculation:
DFT total energy, eV per atom: -3.06
E_form (uncorrected), eV per atom: -0.96
Size of the total moment, μB per cell: 0.0